This record from Alexandria describes a relaxed structure of Tm2ZrScS4. The functional is PBE.

Cell lengths 6.5052, 3.7765, 6.5554 Å; angles 90.00, 109.67, 90.00 degrees
Sites, in units of the cell vectors:
Tm (0.0000, 0.0000, 0.0000)
Tm (0.0000, 0.5000, 0.5000)
Zr (0.5000, 0.0000, 0.5000)
Sc (0.5000, 0.5000, 0.0000)
S (0.2560, 0.5000, 0.2488)
S (0.2585, 0.0000, 0.7559)
S (0.7415, 0.0000, 0.2441)
S (0.7440, 0.5000, 0.7512)

Output
The value obtained for the uncorrected formation energy is -1.773 eV/atom. Its total energy is -6.81 eV per atom. As for the crystal system: monoclinic.